1.
Compound: Ga2SnTePd
Source: Alexandria via LeMat-Bulk
Functional: PBE-GGA
Structure: relaxed

- E_form (uncorrected) (eV/atom) = -0.2357
- spin magnetization (μB per formula unit) = 0.00
- volume (Å³/cell) = 126.4
- density of states at the Fermi level (states/eV/atom) = 0.295
- final energy (eV per cell) = -19.57
- crystal system = tetragonal

Cell: 4.8913 4.8913 5.2846 Å, 90.00 90.00 90.00°
With the nearest neighbours (Å) after each atom.
Space group P4/mmm (No. 123)
Unique sites:
Ga 0.0000 0.5000 0.0000 [2 per cell]  2 Pd 2.45
Sn 0.0000 0.0000 0.5000 [1 per cell]  2 Pd 2.64
Te 0.5000 0.5000 0.5000 [1 per cell]  4 Sn 3.46, 8 Ga 3.60
Pd 0.0000 0.0000 0.0000 [1 per cell]  4 Ga 2.45, 2 Sn 2.64

2.
Compound: ThGaSnPd
Source: Alexandria via LeMat-Bulk
Functional: PBE-GGA
Structure: relaxed

- spin magnetization (μB per formula unit) = 0.00
- volume (Å³/cell) = 353.2
- E_form (eV per formula unit) = -2.11
- density of states at the Fermi level (states/eV/atom) = 0.829
- final energy (eV per cell) = -87.02
- crystal system = cubic

Cell: 7.0690 7.0690 7.0690 Å, 90.00 90.00 90.00°
With the nearest neighbours (Å) after each atom.
Space group F-43m (No. 216)
Unique sites:
Th 0.0000 0.0000 0.0000 [4 per cell]  4 Pd 3.06, 4 Ga 3.06
Ga 0.2500 0.2500 0.2500 [4 per cell]  4 Sn 3.06, 4 Th 3.06
Sn 0.0000 0.0000 0.5000 [4 per cell]  4 Pd 3.06, 4 Ga 3.06
Pd 0.2500 0.2500 0.7500 [4 per cell]  4 Sn 3.06, 4 Th 3.06

3.
Compound: TlGa2SnPd
Source: Alexandria via LeMat-Bulk
Functional: PBE-GGA
Structure: relaxed

- spin magnetization (μB per formula unit) = 0.00
- volume (Å³/cell) = 128.2
- E_form (eV per formula unit) = -0.33
- density of states at the Fermi level (states/eV/atom) = 0.535
- final energy (eV per cell) = -17.95
- crystal system = tetragonal

Cell: 4.8584 4.8584 5.4292 Å, 90.00 90.00 90.00°
With the nearest neighbours (Å) after each atom.
Space group P4/mmm (No. 123)
Unique sites:
Tl 0.0000 0.0000 0.0000 [1 per cell]  4 Sn 3.44, 8 Ga 3.64
Ga 0.0000 0.5000 0.5000 [2 per cell]  2 Pd 2.43
Sn 0.5000 0.5000 0.0000 [1 per cell]  2 Pd 2.71
Pd 0.5000 0.5000 0.5000 [1 per cell]  4 Ga 2.43, 2 Sn 2.71

4.
Compound: TmGaSnPd
Source: Alexandria via LeMat-Bulk
Functional: PBE-GGA
Structure: relaxed

- spin magnetization (μB per formula unit) = 0.00
- volume (Å³/cell) = 324.6
- E_form (eV per formula unit) = -2.41
- density of states at the Fermi level (states/eV/atom) = 0.256
- final energy (eV per cell) = -76.43
- crystal system = cubic

Cell: 6.8723 6.8723 6.8723 Å, 90.00 90.00 90.00°
With the nearest neighbours (Å) after each atom.
Space group F-43m (No. 216)
Unique sites:
Tm 0.0000 0.0000 0.0000 [4 per cell]  4 Pd 2.98, 4 Ga 2.98
Ga 0.2500 0.2500 0.7500 [4 per cell]  4 Sn 2.98, 4 Tm 2.98
Sn 0.0000 0.0000 0.5000 [4 per cell]  4 Ga 2.98, 4 Pd 2.98
Pd 0.2500 0.2500 0.2500 [4 per cell]  4 Sn 2.98, 4 Tm 2.98

5.
Compound: Tm2Ga2SnPd5
Source: Alexandria via LeMat-Bulk
Functional: PBE-GGA
Structure: relaxed

- spin magnetization (μB per formula unit) = 0.00
- volume (Å³/cell) = 365.3
- E_form (eV per formula unit) = -7.54
- density of states at the Fermi level (states/eV/atom) = 0.641
- final energy (eV per cell) = -105.00
- crystal system = tetragonal

Cell: 9.8783 9.8783 3.7439 Å, 90.00 90.00 90.00°
With the nearest neighbours (Å) after each atom.
Space group P4/mbm (No. 127)
Unique sites:
Tm 0.1767 0.3233 0.0000 [4 per cell]  3 Ga 2.83-2.99, 2 Pd 3.10
Ga 0.1208 0.6208 0.0000 [4 per cell]  6 Pd 2.52-2.58
Sn 0.0000 0.0000 0.0000 [2 per cell]  8 Pd 2.86
Pd 0.0000 0.5000 0.5000 [2 per cell]  4 Ga 2.52
Pd 0.0613 0.7902 0.5000 [8 per cell]  2 Ga 2.58, 2 Sn 2.86

6.
Compound: UGaSnPd
Source: Alexandria via LeMat-Bulk
Functional: PBE-GGA
Structure: relaxed

- spin magnetization (μB per formula unit) = 2.81
- volume (Å³/cell) = 330.4
- E_form (eV per formula unit) = -0.96
- density of states at the Fermi level (states/eV/atom) = 1.415
- final energy (eV per cell) = -97.88
- crystal system = cubic

Cell: 6.9135 6.9135 6.9135 Å, 90.00 90.00 90.00°
With the nearest neighbours (Å) after each atom.
Space group F-43m (No. 216)
Unique sites:
U 0.0000 0.0000 0.0000 [4 per cell]  4 Pd 2.99, 4 Ga 2.99
Ga 0.2500 0.2500 0.2500 [4 per cell]  4 Sn 2.99, 4 U 2.99
Sn 0.0000 0.0000 0.5000 [4 per cell]  4 Ga 2.99, 4 Pd 2.99
Pd 0.2500 0.2500 0.7500 [4 per cell]  4 Sn 2.99, 4 U 2.99

- What is the formula in the third record?
  TlGa2SnPd